(1)
# Cs2CaTc, optimized geometry, DFT PBE
# - formation energy (eV per atom) = 1.358
# - size of the total moment (μB/atom) = 0.7413
data_Cs2CaTc
_chemical_formula_sum 'Cs8 Ca4 Tc4'
_cell_length_a 9.137
_cell_length_b 9.137
_cell_length_c 9.137
_cell_angle_alpha 90.00
_cell_angle_beta 90.00
_cell_angle_gamma 90.00
_symmetry_space_group_name_H-M 'F m -3 m'
_symmetry_Int_Tables_number 225
_symmetry_space_group_name_Hall '-F 4 2 3'
loop_
_atom_site_label
_atom_site_fract_x
_atom_site_fract_y
_atom_site_fract_z
_atom_site_occupancy
Cs1 0.250 0.250 0.250 1
Ca1 0.000 0.000 0.000 1
Tc1 0.000 0.000 0.500 1

***

(2)
# Pa3Tl2SbO12, optimized geometry, DFT PBE
# - uncorrected formation energy (eV/atom) = -2.377
# - size of the total moment (μB/atom) = 0.0299
data_Pa3Tl2SbO12
_chemical_formula_sum 'Pa9 Tl6 Sb3 O36'
_cell_length_a 8.0217
_cell_length_b 8.0217
_cell_length_c 19.1087
_cell_angle_alpha 90.00
_cell_angle_beta 90.00
_cell_angle_gamma 120.00
_symmetry_space_group_name_H-M 'R -3 m'
_symmetry_Int_Tables_number 166
_symmetry_space_group_name_Hall '-R 3 2"'
loop_
_atom_site_label
_atom_site_fract_x
_atom_site_fract_y
_atom_site_fract_z
_atom_site_occupancy
Pa1 0.0000 0.5000 0.0000 1
Tl1 0.0000 0.0000 0.1000 1
Sb1 0.0000 0.0000 0.5000 1
O1 0.0689 0.5345 0.3563 1
O2 0.0980 0.5490 0.1066 1

***

(3)
# Si3OsW, optimized geometry, DFT PBE
# - uncorrected formation energy (eV/atom) = 1.544
# - energy relative to the lowest polymorph listed for this composition (meV per atom) = 226
# - size of the total moment (μB/atom) = 0.7698
data_Si3OsW
_chemical_formula_sum 'Si3 Os1 W1'
_cell_length_a 4.684
_cell_length_b 4.684
_cell_length_c 4.684
_cell_angle_alpha 90.00
_cell_angle_beta 90.00
_cell_angle_gamma 90.00
_symmetry_space_group_name_H-M 'P m -3 m'
_symmetry_Int_Tables_number 221
_symmetry_space_group_name_Hall '-P 4 2 3'
loop_
_atom_site_label
_atom_site_fract_x
_atom_site_fract_y
_atom_site_fract_z
_atom_site_occupancy
Si1 0.000 0.000 0.500 1
Os1 0.500 0.500 0.500 1
W1 0.000 0.000 0.000 1

***

(4)
# Na3PtBr, optimized geometry, DFT PBE
# - uncorrected formation energy (eV/atom) = -0.410
# - energy relative to the lowest polymorph listed for this composition (meV per atom) = 0
# - size of the total moment (μB/atom) = 0.0000
data_Na3PtBr
_chemical_formula_sum 'Na3 Pt1 Br1'
_cell_length_a 5.461
_cell_length_b 5.461
_cell_length_c 5.461
_cell_angle_alpha 90.00
_cell_angle_beta 90.00
_cell_angle_gamma 90.00
_symmetry_space_group_name_H-M 'P m -3 m'
_symmetry_Int_Tables_number 221
_symmetry_space_group_name_Hall '-P 4 2 3'
loop_
_atom_site_label
_atom_site_fract_x
_atom_site_fract_y
_atom_site_fract_z
_atom_site_occupancy
Na1 0.000 0.000 0.500 1
Pt1 0.000 0.000 0.000 1
Br1 0.500 0.500 0.500 1

***

(5)
# TaBeNi2, optimized geometry, DFT PBE
# - formation energy (eV per atom) = -0.108
# - size of the total moment (μB/atom) = 0.0000
data_TaBeNi2
_chemical_formula_sum 'Ta2 Be2 Ni4'
_cell_length_a 3.861
_cell_length_b 2.764
_cell_length_c 9.155
_cell_angle_alpha 90.00
_cell_angle_beta 90.00
_cell_angle_gamma 90.00
_symmetry_space_group_name_H-M 'A m m 2'
_symmetry_Int_Tables_number 38
_symmetry_space_group_name_Hall 'A 2 -2'
loop_
_atom_site_label
_atom_site_fract_x
_atom_site_fract_y
_atom_site_fract_z
_atom_site_occupancy
Ta1 0.000 0.000 0.000 1
Be1 0.500 0.000 0.631 1
Ni1 0.000 0.000 0.736 1
Ni2 0.500 0.000 0.351 1

***

(6)
# SmDyErTl, optimized geometry, DFT PBE
# - energy relative to the lowest polymorph listed for this composition (meV per atom) = 136
# - formation energy (eV per atom) = -0.044
# - size of the total moment (μB/atom) = 0.3316
data_SmDyErTl
_chemical_formula_sum 'Sm4 Dy4 Er4 Tl4'
_cell_length_a 7.764
_cell_length_b 7.764
_cell_length_c 7.764
_cell_angle_alpha 90.00
_cell_angle_beta 90.00
_cell_angle_gamma 90.00
_symmetry_space_group_name_H-M 'F -4 3 m'
_symmetry_Int_Tables_number 216
_symmetry_space_group_name_Hall 'F -4 2 3'
loop_
_atom_site_label
_atom_site_fract_x
_atom_site_fract_y
_atom_site_fract_z
_atom_site_occupancy
Sm1 0.000 0.000 0.000 1
Dy1 0.000 0.000 0.500 1
Er1 0.250 0.250 0.250 1
Tl1 0.250 0.250 0.750 1

***

Q: Which formula does entry 3 have?
A: Si3OsW